Material: MoCN2O
Method: DFT, GGA+U
State: relaxed

Properties
V: 41 Å³ per cell
theoretical density: 6.16 g/cm3
crystal system: tetragonal
uncorrected energy: -6.0535 eV per atom

Cell: 3.4238 3.4238 3.4943 Å, 90.00 90.00 90.00°
Fractional coordinates of all 5 atoms:
Mo: 0.0000 0.0000 0.0000
C: 0.5000 0.5000 0.5000
N: 0.0000 0.5000 0.5000
N: 0.5000 0.0000 0.5000
O: 0.5000 0.5000 0.0000